Record 1
DFT (PBE) results for an optimized crystal structure of Ac2PuIn.

Properties
* energy of formation from the pure elements: -0.05 eV/atom
* offset from the most stable computed form: 0.000 eV/atom
* uncorrected energy: -6.3687 eV per atom

abc: 5.354 5.354 4.816
angles: 90.00 90.00 90.00
Space group P4/mmm (No. 123)
Symmetry-distinct sites (fractional):
Ac 0.000 0.500 0.000 x2
Pu 0.000 0.000 0.500 x1
In 0.500 0.500 0.500 x1

=====

Record 2
DFT (PBE) results for an optimized crystal structure of Ac2PuIn2Rh5.

Properties
* energy of formation from the pure elements: -0.40 eV/atom
* uncorrected energy: -6.8817 eV per atom

abc: 10.761 10.761 3.744
angles: 90.00 90.00 90.00
Space group P4/mbm (No. 127)
Symmetry-distinct sites (fractional):
Ac 0.172 0.328 0.000 x4
Pu 0.000 0.000 0.000 x2
In 0.126 0.626 0.000 x4
Rh 0.000 0.500 0.500 x2
Rh 0.059 0.801 0.500 x8

=====

Record 3
DFT (PBE) results for an optimized crystal structure of AcPuInSb.

Properties
* uncorrected energy: -6.7112 eV per atom

abc: 7.905 7.905 7.905
angles: 90.00 90.00 90.00
Space group F-43m (No. 216)
Symmetry-distinct sites (fractional):
Ac 0.000 0.000 0.000 x4
Pu 0.000 0.000 0.500 x4
In 0.250 0.250 0.750 x4
Sb 0.250 0.250 0.250 x4

=====

Record 4
DFT (PBE) results for an optimized crystal structure of AcPuInSi.

Properties
* uncorrected energy: -6.7979 eV per atom

abc: 7.648 7.648 7.648
angles: 90.00 90.00 90.00
Space group F-43m (No. 216)
Symmetry-distinct sites (fractional):
Ac 0.000 0.000 0.000 x4
Pu 0.000 0.000 0.500 x4
In 0.250 0.250 0.250 x4
Si 0.250 0.250 0.750 x4

=====

Record 5
DFT (PBE) results for an optimized crystal structure of AcPuInSn.

Properties
* energy of formation from the pure elements: -0.30 eV/atom
* uncorrected energy: -6.5955 eV per atom

abc: 7.918 7.918 7.918
angles: 90.00 90.00 90.00
Space group F-43m (No. 216)
Symmetry-distinct sites (fractional):
Ac 0.000 0.000 0.000 x4
Pu 0.000 0.000 0.500 x4
In 0.250 0.250 0.250 x4
Sn 0.250 0.250 0.750 x4

=====

Record 6
DFT (PBE) results for an optimized crystal structure of AcTbPuIn.

Properties
* energy of formation from the pure elements: 0.07 eV/atom
* uncorrected energy: -6.3803 eV per atom

abc: 7.903 7.903 7.903
angles: 90.00 90.00 90.00
Space group F-43m (No. 216)
Symmetry-distinct sites (fractional):
Ac 0.000 0.000 0.000 x4
Tb 0.250 0.250 0.750 x4
Pu 0.250 0.250 0.250 x4
In 0.000 0.000 0.500 x4

=====

Record 7
DFT (PBE) results for an optimized crystal structure of AcPuIn2Te4.

Properties
* uncorrected energy: -5.4184 eV per atom

abc: 8.020 4.626 8.509
angles: 90.00 108.26 90.00
Space group P2/m (No. 10)
Symmetry-distinct sites (fractional):
Ac 0.000 0.000 0.000 x1
Pu 0.500 0.500 0.000 x1
In 0.000 0.500 0.500 x1
In 0.500 0.000 0.500 x1
Te 0.258 0.500 0.233 x2
Te 0.274 0.000 0.777 x2

=====

Record 8
DFT (PBE) results for an optimized crystal structure of AcPuThIn.

Properties
* energy of formation from the pure elements: 0.16 eV/atom
* uncorrected energy: -6.9885 eV per atom

abc: 7.985 7.985 7.985
angles: 90.00 90.00 90.00
Space group F-43m (No. 216)
Symmetry-distinct sites (fractional):
Ac 0.000 0.000 0.000 x4
Pu 0.000 0.000 0.500 x4
Th 0.250 0.250 0.750 x4
In 0.250 0.250 0.250 x4

=====

Record 9
DFT (PBE) results for an optimized crystal structure of AcTmPuIn.

Properties
* energy of formation from the pure elements: 0.09 eV/atom
* uncorrected energy: -6.3247 eV per atom

abc: 7.859 7.859 7.859
angles: 90.00 90.00 90.00
Space group F-43m (No. 216)
Symmetry-distinct sites (fractional):
Ac 0.000 0.000 0.000 x4
Tm 0.250 0.250 0.250 x4
Pu 0.250 0.250 0.750 x4
In 0.000 0.000 0.500 x4

=====

Record 10
DFT (PBE) results for an optimized crystal structure of RbAcIn6.

Properties
* energy of formation from the pure elements: -0.19 eV/atom
* uncorrected energy: -2.8757 eV per atom

abc: 5.090 6.866 7.177
angles: 90.00 90.00 90.00
Space group Pmm2 (No. 25)
Symmetry-distinct sites (fractional):
Rb 0.000 0.000 0.000 x1
Ac 0.500 0.500 0.203 x1
In 0.000 0.266 0.465 x2
In 0.000 0.500 0.852 x1
In 0.500 0.000 0.362 x1
In 0.500 0.250 0.732 x2

=====

Record 11
DFT (PBE) results for an optimized crystal structure of Rb3Ac3InS8.

Properties
* uncorrected energy: -4.8752 eV per atom

abc: 8.6918 8.6918 23.4845
angles: 90.00 90.00 120.00
Space group R-3m (No. 166, hexagonal axes)
Symmetry-distinct sites (fractional):
Rb 0.0000 0.5000 0.0000 x9
Ac 0.0000 0.5000 0.5000 x9
In 0.0000 0.0000 0.5000 x3
S 0.0000 0.0000 0.2346 x6
S 0.0288 0.5144 0.2298 x18

=====

Record 12
DFT (PBE) results for an optimized crystal structure of Rb4Ac3InS8.

Properties
* uncorrected energy: -4.8194 eV per atom

abc: 8.6839 8.6839 23.2976
angles: 90.00 90.00 120.00
Space group R-3m (No. 166, hexagonal axes)
Symmetry-distinct sites (fractional):
Rb 0.0000 0.0000 0.0000 x3
Rb 0.0000 0.5000 0.0000 x9
Ac 0.0000 0.5000 0.5000 x9
In 0.0000 0.0000 0.5000 x3
S 0.0000 0.0000 0.2354 x6
S 0.0207 0.5104 0.2328 x18

=====

Record 13
DFT (PBE) results for an optimized crystal structure of Rb2AcInS4.

Properties
* uncorrected energy: -4.4293 eV per atom

abc: 8.412 9.019 12.436
angles: 90.00 90.00 90.00
Space group Imma (No. 74)
Symmetry-distinct sites (fractional):
Rb 0.000 0.000 0.000 x4
Rb 0.250 0.250 0.250 x4
Ac 0.000 0.000 0.500 x4
In 0.250 0.250 0.750 x4
S 0.000 0.051 0.743 x8
S 0.228 0.250 0.520 x8